1.
Rb2TaNbO6 (GGA-PBE, relaxed); uncorrected formation energy = -2.4537 eV/atom; space group = Fm-3m (225)
1.0
0.000 4.085 4.085
4.085 0.000 4.085
4.085 4.085 0.000
Rb Ta Nb O
2 1 1 6
Direct
0.250 0.250 0.250 Rb
0.750 0.750 0.750 Rb
0.000 0.000 0.000 Ta
0.500 0.500 0.500 Nb
0.249 0.249 0.751 O
0.249 0.751 0.249 O
0.249 0.751 0.751 O
0.751 0.249 0.249 O
0.751 0.249 0.751 O
0.751 0.751 0.249 O

---

2.
YHoScZn (GGA-PBE, relaxed); energy relative to the lowest polymorph listed for this composition = 0.548 eV per formula unit; energy of formation = -0.01 eV per atom; space group = F-43m (216)
1.0
0.000 3.685 3.685
3.685 0.000 3.685
3.685 3.685 0.000
Y Ho Sc Zn
1 1 1 1
Direct
0.000 0.000 0.000 Y
0.500 0.500 0.500 Ho
0.750 0.750 0.750 Sc
0.250 0.250 0.250 Zn

---

3.
NdEr4Cd5 (GGA-PBE, relaxed); energy of formation = -0.31 eV per atom; space group = P4/mmm (123)
1.0
3.730 0.000 0.000
0.000 3.730 0.000
0.000 0.000 18.843
Nd Er Cd
1 4 5
Direct
0.000 0.000 0.000 Nd
0.000 0.000 0.206 Er
0.000 0.000 0.402 Er
0.000 0.000 0.598 Er
0.000 0.000 0.794 Er
0.500 0.500 0.110 Cd
0.500 0.500 0.304 Cd
0.500 0.500 0.500 Cd
0.500 0.500 0.696 Cd
0.500 0.500 0.890 Cd

---

4.
SiPSeS2 (GGA-PBE, relaxed); uncorrected formation energy = 0.5894 eV/atom; energy relative to the lowest polymorph listed for this composition = 0.000 eV per formula unit; space group = P4/mmm (123)
1.0
4.356 0.000 0.000
0.000 4.356 0.000
0.000 0.000 4.912
Si P Se S
1 1 1 2
Direct
0.000 0.000 0.000 Si
0.000 0.000 0.500 P
0.500 0.500 0.500 Se
0.000 0.500 0.000 S
0.500 0.000 0.000 S

---

5.
Hf20Co5P11 (GGA-PBE, relaxed); energy of formation = -0.99 eV per atom; space group = Pm (6)
1.0
10.208 0.000 0.000
0.000 3.584 0.000
-0.072 0.000 17.026
Hf Co P
20 5 11
Direct
0.000 0.000 0.000 Hf
0.000 0.000 0.500 Hf
0.062 0.000 0.300 Hf
0.128 0.500 0.141 Hf
0.189 0.500 0.745 Hf
0.233 0.500 0.440 Hf
0.262 0.000 0.901 Hf
0.308 0.000 0.592 Hf
0.369 0.000 0.190 Hf
0.427 0.500 0.035 Hf
0.494 0.500 0.837 Hf
0.500 0.500 0.337 Hf
0.563 0.500 0.536 Hf
0.626 0.000 0.691 Hf
0.690 0.000 0.092 Hf
0.734 0.000 0.395 Hf
0.766 0.500 0.939 Hf
0.807 0.500 0.244 Hf
0.869 0.500 0.644 Hf
0.932 0.000 0.798 Hf
0.114 0.500 0.580 Co
0.245 0.000 0.054 Co
0.382 0.000 0.755 Co
0.611 0.000 0.257 Co
0.882 0.500 0.080 Co
0.060 0.000 0.659 P
0.060 0.500 0.884 P
0.251 0.500 0.284 P
0.431 0.000 0.451 P
0.437 0.500 0.677 P
0.560 0.500 0.176 P
0.570 0.000 0.950 P
0.742 0.500 0.783 P
0.753 0.000 0.552 P
0.933 0.500 0.386 P
0.935 0.000 0.161 P

---

6.
RbPuAgCl5 (GGA-PBE, relaxed); uncorrected formation energy = -1.5748 eV/atom; space group = C2/c (15)
1.0
4.560 -6.267 0.000
4.560 6.267 0.000
-3.964 0.000 9.585
Rb Pu Ag Cl
2 2 2 10
Direct
0.159 0.841 0.750 Rb
0.841 0.159 0.250 Rb
0.500 0.500 0.000 Pu
0.500 0.500 0.500 Pu
0.190 0.810 0.250 Ag
0.810 0.190 0.750 Ag
0.137 0.249 0.932 Cl
0.195 0.595 0.407 Cl
0.249 0.137 0.432 Cl
0.405 0.805 0.093 Cl
0.428 0.572 0.750 Cl
0.572 0.428 0.250 Cl
0.595 0.195 0.907 Cl
0.751 0.863 0.568 Cl
0.805 0.405 0.593 Cl
0.863 0.751 0.068 Cl

---

7.
CaLaN (GGA-PBE, relaxed); uncorrected formation energy = -0.8474 eV/atom; energy relative to the lowest polymorph listed for this composition = 0.000 eV per formula unit; space group = P4/nmm (129)
1.0
3.809 0.000 0.000
0.000 3.809 0.000
0.000 0.000 10.348
Ca La N
2 2 2
Direct
0.250 0.250 0.140 Ca
0.750 0.750 0.860 Ca
0.250 0.250 0.616 La
0.750 0.750 0.384 La
0.250 0.250 0.378 N
0.750 0.750 0.622 N

---

8.
CaYW (GGA-PBE, relaxed); energy relative to the lowest polymorph listed for this composition = 0.314 eV per formula unit; energy of formation = 0.80 eV per atom; space group = P3m1 (156)
1.0
5.299 0.000 0.000
-2.650 4.589 0.000
0.000 0.000 2.928
Ca Y W
1 1 1
Direct
0.000 0.000 0.000 Ca
0.333 0.667 0.702 Y
0.667 0.333 0.274 W

---

9.
YTaPb2I (GGA-PBE, relaxed); uncorrected formation energy = 1.1729 eV/atom; space group = P4/mmm (123)
1.0
5.995 0.000 0.000
0.000 5.995 0.000
0.000 0.000 5.239
Y Ta Pb I
1 1 2 1
Direct
0.000 0.000 0.000 Y
0.000 0.000 0.500 Ta
0.000 0.500 0.000 Pb
0.500 0.000 0.000 Pb
0.500 0.500 0.500 I

---

10.
NdTlH (GGA-PBE, relaxed); energy relative to the lowest polymorph listed for this composition = 0.274 eV per formula unit; space group = P3m1 (156)
1.0
3.825 0.000 0.000
-1.912 3.312 0.000
0.000 0.000 5.361
Nd Tl H
1 1 1
Direct
0.000 0.000 0.000 Nd
0.333 0.667 0.500 Tl
0.667 0.333 0.999 H

---

11.
Ge2Pd8Se (GGA-PBE, relaxed); uncorrected formation energy = -0.3668 eV/atom; space group = C2/m (12)
1.0
7.445 -2.056 0.000
7.445 2.056 0.000
-1.913 0.000 5.685
Ge Pd Se
2 8 1
Direct
0.183 0.183 0.194 Ge
0.817 0.817 0.806 Ge
0.029 0.029 0.266 Pd
0.201 0.201 0.805 Pd
0.331 0.331 0.540 Pd
0.406 0.406 0.042 Pd
0.594 0.594 0.958 Pd
0.669 0.669 0.460 Pd
0.799 0.799 0.195 Pd
0.971 0.971 0.734 Pd
0.500 0.500 0.500 Se

---

12.
NaPm2ReO8 (GGA-PBE, relaxed); uncorrected formation energy = -2.1721 eV/atom; space group = P-1 (2)
1.0
4.314 0.000 0.000
-0.103 5.272 0.000
-1.736 -0.114 6.859
Na Pm Re O
1 2 1 8
Direct
0.000 0.000 0.000 Na
0.384 0.489 0.714 Pm
0.616 0.511 0.286 Pm
0.000 0.000 0.500 Re
0.170 0.525 0.999 O
0.184 0.703 0.411 O
0.225 0.227 0.380 O
0.319 0.025 0.739 O
0.681 0.975 0.261 O
0.775 0.773 0.620 O
0.816 0.297 0.589 O
0.830 0.475 0.001 O

---

13.
ThGeSb (GGA-PBE, relaxed); uncorrected formation energy = -0.3694 eV/atom; space group = C2/m (12)
1.0
3.088 -3.248 0.000
3.088 3.248 0.000
-0.906 0.000 8.934
Th Ge Sb
2 2 2
Direct
0.215 0.215 0.227 Th
0.785 0.785 0.773 Th
0.303 0.697 0.000 Ge
0.697 0.303 0.000 Ge
0.246 0.754 0.500 Sb
0.754 0.246 0.500 Sb

---

14.
InReH2O6 (GGA-PBE, relaxed); energy = -6.52 eV per atom; space group = P1 (1)
1.0
5.155 0.000 0.000
2.362 4.605 0.000
2.556 1.569 4.737
In Re H O
1 1 2 6
Direct
0.000 0.000 0.000 In
0.490 0.546 0.495 Re
0.420 0.244 0.266 H
0.692 0.953 0.748 H
0.190 0.364 0.715 O
0.285 0.860 0.263 O
0.420 0.729 0.734 O
0.607 0.271 0.245 O
0.759 0.118 0.717 O
0.872 0.583 0.271 O

---

15.
SrLi3Tc (GGA-PBE, relaxed); energy relative to the lowest polymorph listed for this composition = 0.000 eV per formula unit; energy of formation = 0.73 eV per atom; space group = Pm-3m (221)
1.0
4.996 0.000 0.000
0.000 4.996 0.000
0.000 0.000 4.996
Sr Li Tc
1 3 1
Direct
0.000 0.000 0.000 Sr
0.000 0.500 0.500 Li
0.500 0.000 0.500 Li
0.500 0.500 0.000 Li
0.500 0.500 0.500 Tc

---

16.
MgAg3 (GGA-PBE, relaxed); energy relative to the lowest polymorph listed for this composition = 0.174 eV per formula unit; energy of formation = -0.12 eV per atom; space group = Pmmm (47)
1.0
3.065 0.000 0.000
0.000 3.940 0.000
0.000 0.000 5.987
Mg Ag
1 3
Direct
0.000 0.000 0.000 Mg
0.000 0.000 0.500 Ag
0.500 0.500 0.248 Ag
0.500 0.500 0.752 Ag

---

17.
Co2AsW (GGA-PBE, relaxed); energy of formation = 0.20 eV per atom; space group = Cmmm (65)
1.0
2.579 -3.639 0.000
2.579 3.639 0.000
0.000 0.000 2.791
Co As W
2 1 1
Direct
0.000 0.500 0.000 Co
0.500 0.000 0.000 Co
0.000 0.000 0.500 As
0.500 0.500 0.500 W

---

18.
SrCa2ScRh (GGA-PBE, relaxed); energy of formation = -0.22 eV per atom; space group = P4/mmm (123)
1.0
5.685 0.000 0.000
0.000 5.685 0.000
0.000 0.000 5.109
Sr Ca Sc Rh
1 2 1 1
Direct
0.000 0.000 0.000 Sr
0.000 0.500 0.500 Ca
0.500 0.000 0.500 Ca
0.500 0.500 0.000 Sc
0.500 0.500 0.500 Rh

---

19.
TaMo2Se (GGA-PBE, relaxed); uncorrected formation energy = 0.4056 eV/atom; space group = F-43m (216)
1.0
0.000 3.217 3.217
3.217 0.000 3.217
3.217 3.217 0.000
Ta Mo Se
1 2 1
Direct
0.000 0.000 0.000 Ta
0.500 0.500 0.500 Mo
0.750 0.750 0.750 Mo
0.250 0.250 0.250 Se

---

20.
Sc2Hg4Pb (GGA-PBE, relaxed); energy of formation = -0.12 eV per atom; space group = I4/mmm (139)
1.0
-3.632 3.632 3.442
3.632 -3.632 3.442
3.632 3.632 -3.442
Sc Hg Pb
2 4 1
Direct
0.000 0.500 0.500 Sc
0.500 0.000 0.500 Sc
0.000 0.000 0.500 Hg
0.000 0.500 0.000 Hg
0.500 0.000 0.000 Hg
0.500 0.500 0.500 Hg
0.000 0.000 0.000 Pb